DFT (PBE) results for a relaxed Rb2SrSbH crystal.

Cell lengths 5.2887, 5.2887, 5.8330 Å; angles 90.00, 90.00, 90.00 degrees
With the nearest neighbours (Å) after each atom.
Fractional coordinates of all 5 atoms:
1 Rb 0.0000 0.5000 0.0000  2 H 2.64
2 Rb 0.5000 0.0000 0.0000  2 H 2.64
3 Sr 0.0000 0.0000 0.5000  2 H 2.92
4 Sb 0.5000 0.5000 0.5000  4 Sr 3.74, 8 Rb 3.94
5 H 0.0000 0.0000 0.0000  4 Rb 2.64, 2 Sr 2.92

***

DFT (PBE) results for a relaxed Nd2NiSn4Pd3 crystal.

Cell lengths 4.5305, 4.5305, 10.8323 Å; angles 90.00, 90.00, 90.00 degrees
With the nearest neighbours (Å) after each atom.
Fractional coordinates of all 10 atoms:
1 Nd 0.0000 0.5000 0.2347  2 Ni 3.40, 6 Pd 3.40-3.49, 8 Sn 3.43-3.66
2 Nd 0.5000 0.0000 0.7653  2 Ni 3.40, 6 Pd 3.40-3.49, 8 Sn 3.43-3.66
3 Ni 0.5000 0.5000 0.0000  4 Sn 2.62
4 Sn 0.0000 0.0000 0.5000  4 Pd 2.71
5 Sn 0.0000 0.5000 0.8778  3 Pd 2.61-2.62, 2 Ni 2.62
6 Sn 0.5000 0.0000 0.1222  3 Pd 2.61-2.62, 2 Ni 2.62
7 Sn 0.5000 0.5000 0.5000  4 Pd 2.71
8 Pd 0.0000 0.0000 0.0000  4 Sn 2.62
9 Pd 0.0000 0.5000 0.6367  5 Sn 2.61-2.71
10 Pd 0.5000 0.0000 0.3634  5 Sn 2.61-2.71

DOS at the Fermi energy in states/eV per atom: 0.533
Calculated formation energy in eV/f.u.: -6.9

***

DFT (PBE) results for a relaxed MnCoPt2 crystal.

Cell lengths 2.7305, 4.1475, 5.2150 Å; angles 90.00, 105.08, 90.00 degrees
With the nearest neighbours (Å) after each atom.
Fractional coordinates of all 4 atoms:
1 Mn 0.0000 0.0000 0.0000  2 Co 2.51, 7 Pt 2.68-2.73, 2 Mn 2.73
2 Co 0.8673 0.5000 0.7195  2 Mn 2.51, 7 Pt 2.60-2.79, 2 Co 2.73
3 Pt 0.2734 0.0000 0.5326  4 Co 2.65-2.66, 3 Mn 2.68-2.73, 2 Pt 2.73
4 Pt 0.6040 0.5000 0.2024  3 Co 2.60-2.79, 4 Mn 2.68-2.69, 2 Pt 2.73

DOS at the Fermi energy in states/eV per atom: 1.011
Calculated formation energy in eV/f.u.: -0.5

***

DFT (PBE) results for a relaxed Sm5Tl2In2 crystal.

Cell lengths 10.6709, 10.6709, 10.6709 Å; angles 64.45, 128.05, 144.58 degrees
With the nearest neighbours (Å) after each atom.
Fractional coordinates of all 18 atoms:
1 Sm 0.2217 0.0840 0.3057  4 Tl 3.24-3.60, 3 In 3.26-3.61, 2 Sm 3.29
2 Sm 0.2217 0.4160 0.6377  4 Tl 3.24-3.60, 3 In 3.26-3.61, 2 Sm 3.29
3 Sm 0.2621 0.5169 0.2451  2 Tl 3.22-3.53, 2 In 3.28
4 Sm 0.2718 0.0169 0.7549  2 Tl 3.22-3.53, 2 In 3.28
5 Sm 0.6282 0.1090 0.2092  2 Tl 3.11-3.26, 1 In 3.12, 1 Sm 3.43
6 Sm 0.6282 0.9190 0.0192  2 Tl 3.11-3.26, 1 In 3.12, 1 Sm 3.43
7 Sm 0.7783 0.5840 0.3623  4 Tl 3.24-3.60, 3 In 3.26-3.61, 2 Sm 3.29
8 Sm 0.7783 0.9160 0.6943  4 Tl 3.24-3.60, 3 In 3.26-3.61, 2 Sm 3.29
9 Sm 0.8998 0.4190 0.7908  2 Tl 3.11-3.26, 1 In 3.12, 1 Sm 3.43
10 Sm 0.8998 0.6090 0.9808  2 Tl 3.11-3.26, 1 In 3.12, 1 Sm 3.43
11 Tl 0.5962 0.5065 0.5897  8 Sm 3.22-3.60
12 Tl 0.6957 0.1957 0.5000  6 Sm 3.11-3.27, 2 In 3.14
13 Tl 0.6957 0.6957 0.0000  6 Sm 3.11-3.27, 2 In 3.14
14 Tl 0.9168 0.0065 0.4103  8 Sm 3.22-3.60
15 In 0.1951 0.3390 0.9997  1 In 2.92, 2 Sm 3.12-3.26, 1 Tl 3.14
16 In 0.1951 0.6954 0.3561  1 In 2.92, 2 Sm 3.12-3.26, 1 Tl 3.14
17 In 0.3394 0.1954 0.0003  1 In 2.92, 2 Sm 3.12-3.26, 1 Tl 3.14
18 In 0.3394 0.8390 0.6439  1 In 2.92, 2 Sm 3.12-3.26, 1 Tl 3.14

DOS at the Fermi energy in states/eV per atom: 1.180
ΔE to the lowest computed polymorph in eV per atom: 0.0836
Calculated formation energy in eV/f.u.: -2.5

***

Looking at raw total energy for the records above, in order, we have -2.630; -5.385; -7.221; -4.038 eV/atom.
Looking at mass density for the records above, in order, we have 3.88; 8.52; 14.68; 8.43 g/cm³.